i) Below is crystalline YHfF2 at its relaxed geometry, with properties calculated at the PBE level.

```
data_YHfF2
_chemical_formula_sum 'Y1 Hf1 F2'
_cell_length_a 8.012
_cell_length_b 8.012
_cell_length_c 8.012
_cell_angle_alpha 23.17
_cell_angle_beta 23.17
_cell_angle_gamma 23.17
_space_group_name_H-M_alt 'P 1'
_space_group_IT_number 1
_space_group_name_Hall 'P 1'
loop_
_atom_site_label
_atom_site_type_symbol
_atom_site_fract_x
_atom_site_fract_y
_atom_site_fract_z
Y1 Y 0.000 0.000 0.000
Hf1 Hf 0.500 0.500 0.500
F1 F 0.408 0.408 0.408
F2 F 0.592 0.592 0.592
```

**Space-group type**: R-3m
**Crystal system**: trigonal

ii) Below is crystalline YHfF2 at its relaxed geometry, with properties calculated at the PBE level.

```
data_YHfF2
_chemical_formula_sum 'Y2 Hf2 F4'
_cell_length_a 6.460
_cell_length_b 6.460
_cell_length_c 6.460
_cell_angle_alpha 131.28
_cell_angle_beta 131.28
_cell_angle_gamma 71.37
_space_group_name_H-M_alt 'P 1'
_space_group_IT_number 1
_space_group_name_Hall 'P 1'
loop_
_atom_site_label
_atom_site_type_symbol
_atom_site_fract_x
_atom_site_fract_y
_atom_site_fract_z
Y1 Y 0.000 0.000 0.000
Y2 Y 0.750 0.250 0.500
Hf1 Hf 0.250 0.750 0.500
Hf2 Hf 0.500 0.500 0.000
F1 F 0.123 0.625 0.998
F2 F 0.375 0.373 0.498
F3 F 0.627 0.125 0.002
F4 F 0.875 0.877 0.502
```

**Space-group type**: I-42d
**Crystal system**: tetragonal

Result of the stability comparison: ii) is the least stable of them.

i) Below is crystalline YHfF3 at its relaxed geometry, with properties calculated at the PBE level.

```
data_YHfF3
_chemical_formula_sum 'Y1 Hf1 F3'
_cell_length_a 4.427
_cell_length_b 4.427
_cell_length_c 4.427
_cell_angle_alpha 90.00
_cell_angle_beta 90.00
_cell_angle_gamma 90.00
_space_group_name_H-M_alt 'P 1'
_space_group_IT_number 1
_space_group_name_Hall 'P 1'
loop_
_atom_site_label
_atom_site_type_symbol
_atom_site_fract_x
_atom_site_fract_y
_atom_site_fract_z
Y1 Y 0.000 0.000 0.000
Hf1 Hf 0.500 0.500 0.500
F1 F 0.000 0.000 0.500
F2 F 0.000 0.500 0.000
F3 F 0.500 0.000 0.000
```

**Space-group type**: Pm-3m
**Crystal system**: cubic

ii) Below is crystalline YHfF3 at its relaxed geometry, with properties calculated at the PBE level.

```
data_YHfF3
_chemical_formula_sum 'Y1 Hf1 F3'
_cell_length_a 4.413
_cell_length_b 4.413
_cell_length_c 4.413
_cell_angle_alpha 90.00
_cell_angle_beta 90.00
_cell_angle_gamma 90.00
_space_group_name_H-M_alt 'P 1'
_space_group_IT_number 1
_space_group_name_Hall 'P 1'
loop_
_atom_site_label
_atom_site_type_symbol
_atom_site_fract_x
_atom_site_fract_y
_atom_site_fract_z
Y1 Y 0.000 0.000 0.000
Hf1 Hf 0.500 0.500 0.500
F1 F 0.000 0.500 0.500
F2 F 0.500 0.000 0.500
F3 F 0.500 0.500 0.000
```

**Space-group type**: Pm-3m
**Crystal system**: cubic

Result of the stability comparison: ii) is the least stable of them.

i) Below is crystalline Y3HfF at its relaxed geometry, with properties calculated at the PBE level.

```
data_Y3HfF
_chemical_formula_sum 'Y3 Hf1 F1'
_cell_length_a 4.916
_cell_length_b 4.916
_cell_length_c 4.916
_cell_angle_alpha 90.00
_cell_angle_beta 90.00
_cell_angle_gamma 90.00
_space_group_name_H-M_alt 'P 1'
_space_group_IT_number 1
_space_group_name_Hall 'P 1'
loop_
_atom_site_label
_atom_site_type_symbol
_atom_site_fract_x
_atom_site_fract_y
_atom_site_fract_z
Y1 Y 0.000 0.000 0.500
Y2 Y 0.000 0.500 0.000
Y3 Y 0.500 0.000 0.000
Hf1 Hf 0.500 0.500 0.500
F1 F 0.000 0.000 0.000
```

**Space-group type**: Pm-3m
**Crystal system**: cubic

ii) Below is crystalline Y3HfF at its relaxed geometry, with properties calculated at the PBE level.

```
data_Y3HfF
_chemical_formula_sum 'Y3 Hf1 F1'
_cell_length_a 5.616
_cell_length_b 5.616
_cell_length_c 5.616
_cell_angle_alpha 90.00
_cell_angle_beta 90.00
_cell_angle_gamma 90.00
_space_group_name_H-M_alt 'P 1'
_space_group_IT_number 1
_space_group_name_Hall 'P 1'
loop_
_atom_site_label
_atom_site_type_symbol
_atom_site_fract_x
_atom_site_fract_y
_atom_site_fract_z
Y1 Y 0.000 0.000 0.500
Y2 Y 0.000 0.500 0.000
Y3 Y 0.500 0.000 0.000
Hf1 Hf 0.000 0.000 0.000
F1 F 0.500 0.500 0.500
```

**Space-group type**: Pm-3m
**Crystal system**: cubic

Result of the stability comparison: ii) is the least stable of them.

i) Below is crystalline YHf2F at its relaxed geometry, with properties calculated at the PBE level.

```
data_YHf2F
_chemical_formula_sum 'Y1 Hf2 F1'
_cell_length_a 4.991
_cell_length_b 4.991
_cell_length_c 4.991
_cell_angle_alpha 60.00
_cell_angle_beta 60.00
_cell_angle_gamma 60.00
_space_group_name_H-M_alt 'P 1'
_space_group_IT_number 1
_space_group_name_Hall 'P 1'
loop_
_atom_site_label
_atom_site_type_symbol
_atom_site_fract_x
_atom_site_fract_y
_atom_site_fract_z
Y1 Y 0.000 0.000 0.000
Hf1 Hf 0.250 0.250 0.250
Hf2 Hf 0.750 0.750 0.750
F1 F 0.500 0.500 0.500
```

**Space-group type**: Fm-3m
**Crystal system**: cubic

ii) Below is crystalline YHf2F at its relaxed geometry, with properties calculated at the PBE level.

```
data_YHf2F
_chemical_formula_sum 'Y2 Hf4 F2'
_cell_length_a 7.123
_cell_length_b 7.123
_cell_length_c 7.123
_cell_angle_alpha 130.93
_cell_angle_beta 130.93
_cell_angle_gamma 71.92
_space_group_name_H-M_alt 'P 1'
_space_group_IT_number 1
_space_group_name_Hall 'P 1'
loop_
_atom_site_label
_atom_site_type_symbol
_atom_site_fract_x
_atom_site_fract_y
_atom_site_fract_z
Y1 Y 0.000 0.000 0.000
Y2 Y 0.750 0.250 0.500
Hf1 Hf 0.338 0.625 0.213
Hf2 Hf 0.375 0.588 0.713
Hf3 Hf 0.412 0.125 0.787
Hf4 Hf 0.875 0.662 0.287
F1 F 0.250 0.750 0.500
F2 F 0.500 0.500 0.000
```

**Space-group type**: I-42d
**Crystal system**: tetragonal

Result of the stability comparison: i) is the least stable of them.

i) Below is crystalline HfZn2F8 at its relaxed geometry, with properties calculated at the PBE level.

```
data_HfZn2F8
_chemical_formula_sum 'Hf1 Zn2 F8'
_cell_length_a 6.479
_cell_length_b 6.479
_cell_length_c 4.057
_cell_angle_alpha 90.00
_cell_angle_beta 90.00
_cell_angle_gamma 120.00
_space_group_name_H-M_alt 'P 1'
_space_group_IT_number 1
_space_group_name_Hall 'P 1'
loop_
_atom_site_label
_atom_site_type_symbol
_atom_site_fract_x
_atom_site_fract_y
_atom_site_fract_z
Hf1 Hf 0.000 0.000 0.000
Zn1 Zn 0.333 0.667 0.735
Zn2 Zn 0.667 0.333 0.265
F1 F 0.154 0.307 0.746
F2 F 0.154 0.846 0.746
F3 F 0.307 0.154 0.254
F4 F 0.333 0.667 0.239
F5 F 0.667 0.333 0.761
F6 F 0.693 0.846 0.746
F7 F 0.846 0.154 0.254
F8 F 0.846 0.693 0.254
```

**Space-group type**: P-3m1
**Crystal system**: trigonal

ii) Below is crystalline HfZn2F8 at its relaxed geometry, with properties calculated at the PBE level.

```
data_HfZn2F8
_chemical_formula_sum 'Hf1 Zn2 F8'
_cell_length_a 5.872
_cell_length_b 5.872
_cell_length_c 4.411
_cell_angle_alpha 93.02
_cell_angle_beta 93.02
_cell_angle_gamma 73.61
_space_group_name_H-M_alt 'P 1'
_space_group_IT_number 1
_space_group_name_Hall 'P 1'
loop_
_atom_site_label
_atom_site_type_symbol
_atom_site_fract_x
_atom_site_fract_y
_atom_site_fract_z
Hf1 Hf 0.000 0.000 0.000
Zn1 Zn 0.380 0.380 0.719
Zn2 Zn 0.620 0.620 0.281
F1 F 0.106 0.692 0.757
F2 F 0.170 0.170 0.747
F3 F 0.308 0.894 0.243
F4 F 0.404 0.404 0.247
F5 F 0.596 0.596 0.753
F6 F 0.692 0.106 0.757
F7 F 0.830 0.830 0.253
F8 F 0.894 0.308 0.243
```

**Space-group type**: C2/m
**Crystal system**: monoclinic

Result of the stability comparison: i) is the least stable of them.

i) Below is crystalline HfZnF2 at its relaxed geometry, with properties calculated at the PBE level.

```
data_HfZnF2
_chemical_formula_sum 'Hf1 Zn1 F2'
_cell_length_a 9.021
_cell_length_b 9.021
_cell_length_c 9.021
_cell_angle_alpha 18.35
_cell_angle_beta 18.35
_cell_angle_gamma 18.35
_space_group_name_H-M_alt 'P 1'
_space_group_IT_number 1
_space_group_name_Hall 'P 1'
loop_
_atom_site_label
_atom_site_type_symbol
_atom_site_fract_x
_atom_site_fract_y
_atom_site_fract_z
Hf1 Hf 0.000 0.000 0.000
Zn1 Zn 0.500 0.500 0.500
F1 F 0.392 0.392 0.392
F2 F 0.608 0.608 0.608
```

**Space-group type**: R-3m
**Crystal system**: trigonal

ii) Below is crystalline HfZnF2 at its relaxed geometry, with properties calculated at the PBE level.

```
data_HfZnF2
_chemical_formula_sum 'Hf1 Zn1 F2'
_cell_length_a 4.267
_cell_length_b 4.267
_cell_length_c 4.267
_cell_angle_alpha 60.00
_cell_angle_beta 60.00
_cell_angle_gamma 60.00
_space_group_name_H-M_alt 'P 1'
_space_group_IT_number 1
_space_group_name_Hall 'P 1'
loop_
_atom_site_label
_atom_site_type_symbol
_atom_site_fract_x
_atom_site_fract_y
_atom_site_fract_z
Hf1 Hf 0.000 0.000 0.000
Zn1 Zn 0.500 0.500 0.500
F1 F 0.250 0.250 0.250
F2 F 0.750 0.750 0.750
```

**Space-group type**: Fm-3m
**Crystal system**: cubic

Result of the stability comparison: ii) is the least stable of them.